(1)
This record from Alexandria describes an optimized crystal structure of KCuW2. The functional is GGA-PBE.

Computed properties:
**Electronic total energy**: -26.770 eV for the cell shown
**Formation energy**: 1.08 eV/atom
**Symmetry**: P4/mmm (123)

Cell: 2.692 2.692 10.215 Å, 90.00 90.00 90.00°
Fractional coordinates of all 4 atoms:
K1 0.000 0.000 0.000
Cu1 0.000 0.000 0.500
W1 0.500 0.500 0.308
W2 0.500 0.500 0.692


(2)
This record from Alexandria describes an optimized crystal structure of Sn2PIr. The functional is GGA-PBE.

Computed properties:
**Electronic total energy**: -42.860 eV for the cell shown
**Formation energy**: 0.21 eV/atom
**Symmetry**: I-42d (122)

Cell: 7.125 7.125 7.125 Å, 128.69 128.69 75.52°
Fractional coordinates of all 8 atoms:
Sn1 0.119 0.625 0.994
Sn2 0.375 0.369 0.494
Sn3 0.631 0.125 0.006
Sn4 0.875 0.881 0.506
P1 0.250 0.750 0.500
P2 0.500 0.500 0.000
Ir1 0.000 0.000 0.000
Ir2 0.750 0.250 0.500


(3)
This record from Alexandria describes an optimized crystal structure of Nd2MnSb3Rh4. The functional is GGA-PBE.

Computed properties:
**Electronic total energy**: -67.758 eV for the cell shown
**Formation energy from raw total energies**: -16.79 kcal/mol of atoms
**Symmetry**: P-4m2 (115)

Cell: 4.358 4.358 10.947 Å, 90.00 90.00 90.00°
Fractional coordinates of all 10 atoms:
Nd1 0.000 0.500 0.244
Nd2 0.500 0.000 0.756
Mn1 0.500 0.500 0.000
Sb1 0.000 0.000 0.000
Sb2 0.000 0.500 0.636
Sb3 0.500 0.000 0.364
Rh1 0.000 0.000 0.500
Rh2 0.000 0.500 0.870
Rh3 0.500 0.000 0.130
Rh4 0.500 0.500 0.500


(4)
This record from Alexandria describes an optimized crystal structure of Pm12Au3O5. The functional is GGA-PBE.

Computed properties:
**Electronic total energy**: -492.786 eV for the cell shown
**Formation energy from raw total energies**: -36.40 kcal/mol of atoms
**Symmetry**: Ia-3d (230)

Cell: 13.703 13.703 13.703 Å, 109.47 109.47 109.47°
Fractional coordinates of all 80 atoms:
Pm1 0.016 0.202 0.112
Pm2 0.016 0.314 0.904
Pm3 0.090 0.702 0.686
Pm4 0.090 0.888 0.404
Pm5 0.096 0.612 0.410
Pm6 0.096 0.984 0.686
Pm7 0.112 0.016 0.202
Pm8 0.112 0.596 0.910
Pm9 0.186 0.202 0.590
Pm10 0.186 0.484 0.596
Pm11 0.202 0.112 0.016
Pm12 0.202 0.590 0.186
Pm13 0.298 0.314 0.910
Pm14 0.298 0.484 0.388
Pm15 0.314 0.904 0.016
Pm16 0.314 0.910 0.298
Pm17 0.388 0.298 0.484
Pm18 0.388 0.590 0.904
Pm19 0.404 0.090 0.888
Pm20 0.404 0.814 0.516
Pm21 0.410 0.096 0.612
Pm22 0.410 0.814 0.798
Pm23 0.484 0.388 0.298
Pm24 0.484 0.596 0.186
Pm25 0.516 0.404 0.814
Pm26 0.516 0.612 0.702
Pm27 0.590 0.186 0.202
Pm28 0.590 0.904 0.388
Pm29 0.596 0.186 0.484
Pm30 0.596 0.910 0.112
Pm31 0.612 0.410 0.096
Pm32 0.612 0.702 0.516
Pm33 0.686 0.090 0.702
Pm34 0.686 0.096 0.984
Pm35 0.702 0.516 0.612
Pm36 0.702 0.686 0.090
Pm37 0.798 0.410 0.814
Pm38 0.798 0.888 0.984
Pm39 0.814 0.516 0.404
Pm40 0.814 0.798 0.410
Pm41 0.888 0.404 0.090
Pm42 0.888 0.984 0.798
Pm43 0.904 0.016 0.314
Pm44 0.904 0.388 0.590
Pm45 0.910 0.112 0.596
Pm46 0.910 0.298 0.314
Pm47 0.984 0.686 0.096
Pm48 0.984 0.798 0.888
Au1 0.125 0.250 0.375
Au2 0.125 0.375 0.750
Au3 0.250 0.375 0.125
Au4 0.250 0.875 0.625
Au5 0.375 0.125 0.250
Au6 0.375 0.750 0.125
Au7 0.625 0.250 0.875
Au8 0.625 0.875 0.750
Au9 0.750 0.125 0.375
Au10 0.750 0.625 0.875
Au11 0.875 0.625 0.250
Au12 0.875 0.750 0.625
O1 0.000 0.000 0.000
O2 0.000 0.000 0.500
O3 0.000 0.500 0.000
O4 0.000 0.500 0.500
O5 0.125 0.750 0.875
O6 0.125 0.875 0.250
O7 0.250 0.125 0.875
O8 0.250 0.625 0.375
O9 0.375 0.250 0.625
O10 0.375 0.625 0.750
O11 0.500 0.000 0.000
O12 0.500 0.000 0.500
O13 0.500 0.500 0.000
O14 0.500 0.500 0.500
O15 0.625 0.375 0.250
O16 0.625 0.750 0.375
O17 0.750 0.375 0.625
O18 0.750 0.875 0.125
O19 0.875 0.125 0.750
O20 0.875 0.250 0.125


(5)
This record from Alexandria describes an optimized crystal structure of Ca4ZrIn. The functional is GGA-PBE.

Computed properties:
**Electronic total energy**: -16.447 eV for the cell shown
**Formation energy**: 0.47 eV/atom
**Symmetry**: F-43m (216)

Cell: 6.543 6.543 6.543 Å, 60.00 60.00 60.00°
Fractional coordinates of all 6 atoms:
Ca1 0.125 0.125 0.125
Ca2 0.125 0.125 0.624
Ca3 0.125 0.624 0.125
Ca4 0.624 0.125 0.125
Zr1 0.500 0.500 0.500
In1 0.750 0.750 0.750


(6)
This record from Alexandria describes an optimized crystal structure of AgS4. The functional is GGA-PBE.

Computed properties:
**Electronic total energy**: -19.004 eV for the cell shown
**Formation energy from raw total energies**: 1.65 kcal/mol of atoms
**Symmetry**: P-1 (2)

Cell: 4.007 5.286 7.237 Å, 77.74 74.12 67.94°
Fractional coordinates of all 5 atoms:
Ag1 0.000 0.000 0.000
S1 0.408 0.720 0.467
S2 0.476 0.225 0.823
S3 0.524 0.775 0.177
S4 0.592 0.280 0.533